No. 1
Entry from Alexandria via LeMat-Bulk: a relaxed structure of BiRhF2 (GGA-PBE).

```
BiRhF2
1.0
6.2014 -5.4186 0.1263
6.0989 -4.7115 -2.9051
7.6606 -2.8781 -0.9304
F Bi Rh
2 1 1
direct
0.0851 0.0851 0.0851
0.9149 0.9149 0.9149
0.5000 0.5000 0.5000
0.0000 0.0000 0.0000
```

Values from the calculation:
Theoretical density, g/cm³: 8.61
DOS(E_F), states/eV/f.u.: 2.97
Offset from the most stable computed form, eV per formula unit: 0.83



No. 2
Entry from Alexandria via LeMat-Bulk: a relaxed structure of Tb4CdCu2Os (GGA-PBE).

```
Tb4CdCu2Os
1.0
-0.3152 -4.0218 -2.9866
-2.1307 -4.2192 1.6888
-8.0740 -0.1659 -3.1423
Tb Cu Os Cd
4 2 1 1
direct
0.1325 0.1325 0.6025
0.6162 0.6162 0.1515
0.8675 0.8675 0.3975
0.3838 0.3838 0.8485
0.7427 0.7427 0.7719
0.2573 0.2573 0.2281
0.5000 0.5000 0.5000
0.0000 0.0000 0.0000
```

Values from the calculation:
Theoretical density, g/cm³: 9.93
DOS(E_F), states/eV/f.u.: 5.12
ΔH_f (0 K), meV/atom: -259.2



No. 3
Entry from Alexandria via LeMat-Bulk: a relaxed structure of Ce2TmAl (GGA-PBE).

```
Ce2TmAl
1.0
-0.0334 2.7908 -1.4992
-2.7541 1.2832 -0.8975
-1.7062 6.8414 9.4256
Tm Al Ce
1 1 2
direct
0.0000 0.0000 0.0000
0.5000 0.5000 0.5000
0.9090 0.9090 0.2730
0.0910 0.0910 0.7270
```

Values from the calculation:
Theoretical density, g/cm³: 7.82
DOS(E_F), states/eV/f.u.: 8.54
ΔH_f (0 K), meV/atom: 108.1
Offset from the most stable computed form, eV per formula unit: 1.16



No. 4
Entry from Alexandria via LeMat-Bulk: a relaxed structure of ScAl2W (GGA-PBE).

```
ScAl2W
1.0
-1.4545 -3.8493 -0.5200
1.9208 -0.4542 -2.0109
5.6370 -2.3983 1.9862
Al Sc W
2 1 1
direct
0.0000 0.0227 0.9774
0.0000 0.4773 0.5226
0.5000 0.2500 0.2500
0.5000 0.7500 0.7500
```

Values from the calculation:
Theoretical density, g/cm³: 6.93
DOS(E_F), states/eV/f.u.: 2.17
ΔH_f (0 K), meV/atom: -186.5
Offset from the most stable computed form, eV per formula unit: 0.07



No. 5
Entry from Alexandria via LeMat-Bulk: a relaxed structure of K2AcHfS4 (GGA-PBE).

```
K2AcHfS4
1.0
4.0375 0.0000 0.0000
0.0000 7.1466 0.1763
0.0000 -2.4560 7.3665
K S Ac Hf
2 4 1 1
direct
0.0000 0.5000 0.5000
0.5000 0.0000 0.5000
0.5000 0.7254 0.7886
0.5000 0.2746 0.2114
0.0000 0.2980 0.8046
0.0000 0.7020 0.1954
0.0000 0.0000 0.0000
0.5000 0.5000 0.0000
```

Values from the calculation:
Theoretical density, g/cm³: 4.74
DOS(E_F), states/eV/f.u.: 3.23
Total energy, eV/f.u.: -45.498



No. 6
Entry from Alexandria via LeMat-Bulk: a relaxed structure of La2TbSm6Er3 (GGA-PBE).

```
La2TbSm6Er3
1.0
-3.6161 2.8279 -4.2636
-2.5656 -2.4151 5.1805
3.5743 10.1495 5.2370
Sm Tb Er La
6 1 3 2
direct
0.9147 0.5826 0.7443
0.4174 0.0853 0.2557
0.0853 0.4174 0.2557
0.2469 0.2469 0.7442
0.7531 0.7531 0.2558
0.5826 0.9147 0.7443
0.0000 0.0000 0.0000
0.1663 0.8337 0.5000
0.8337 0.1663 0.5000
0.5000 0.5000 0.5000
0.3334 0.6666 0.0000
0.6666 0.3334 0.0000
```

Values from the calculation:
Theoretical density, g/cm³: 7.63
DOS(E_F), states/eV/f.u.: 17.13
ΔH_f (0 K), meV/atom: 22.2



No. 7
Entry from Alexandria via LeMat-Bulk: a relaxed structure of NpTlNiS4 (GGA-PBE).

```
NpTlNiS4
1.0
6.5405 0.0000 0.0251
0.0000 5.5111 0.0000
-2.5305 0.0000 8.5999
S Np Tl Ni
8 2 2 2
direct
0.0209 0.9839 0.7031
0.0209 0.5161 0.7031
0.5756 0.2500 0.4177
0.9791 0.0161 0.2969
0.4479 0.7500 0.1834
0.4244 0.7500 0.5823
0.5521 0.2500 0.8166
0.9791 0.4839 0.2969
0.7376 0.7500 0.4466
0.2624 0.2500 0.5534
0.2658 0.2500 0.0489
0.7342 0.7500 0.9511
0.2342 0.7500 0.3398
0.7658 0.2500 0.6602
```

Values from the calculation:
Theoretical density, g/cm³: 6.72
DOS(E_F), states/eV/f.u.: 8.26
Total energy, eV/f.u.: -42.557



No. 8
Entry from Alexandria via LeMat-Bulk: a relaxed structure of NdY2Tm (GGA-PBE).

```
NdY2Tm
1.0
3.6014 0.0000 0.0000
1.8007 3.1189 0.0000
1.8007 1.0396 11.5687
Y Tm Nd
2 1 1
direct
0.0814 0.0814 0.7559
0.2518 0.2518 0.2447
0.6664 0.6664 0.0010
0.5005 0.5005 0.4984
```

Values from the calculation:
Theoretical density, g/cm³: 6.27
DOS(E_F), states/eV/f.u.: 5.87
ΔH_f (0 K), meV/atom: 20.7
Offset from the most stable computed form, eV per formula unit: 0.04



No. 9
Entry from Alexandria via LeMat-Bulk: a relaxed structure of Mn4Cu (GGA-PBE).

```
Mn4Cu
1.0
0.7505 2.1721 3.6281
-3.6679 -1.5492 -1.6096
2.0485 -3.6707 0.8799
Mn Cu
4 1
direct
0.5873 0.2009 0.7882
0.2009 0.4127 0.6136
0.7991 0.5873 0.3864
0.4127 0.7991 0.2118
0.0000 0.0000 0.0000
```

Values from the calculation:
Theoretical density, g/cm³: 8.59
DOS(E_F), states/eV/f.u.: 7.00
ΔH_f (0 K), meV/atom: 203.1
Offset from the most stable computed form, eV per formula unit: 0.00



No. 10
Entry from Alexandria via LeMat-Bulk: a relaxed structure of InSn4H2 (GGA-PBE).

```
InSn4H2
1.0
3.3782 0.0000 0.0000
0.0000 5.0417 -0.9839
0.0000 -0.9070 8.7613
H In Sn
2 1 4
direct
0.5000 0.2244 0.4487
0.5000 0.7756 0.5513
0.0000 0.5000 0.0000
0.0000 0.3113 0.6226
0.5000 0.8973 0.7947
0.0000 0.6887 0.3774
0.5000 0.1027 0.2053
```

Values from the calculation:
Theoretical density, g/cm³: 6.72
DOS(E_F), states/eV/f.u.: 2.75
Total energy, eV/f.u.: -23.578



No. 11
Entry from Alexandria via LeMat-Bulk: a relaxed structure of Ce6ThGa4 (GGA-PBE).

```
Ce6ThGa4
1.0
-5.4098 -4.2769 3.2739
2.4486 -2.1069 -6.9167
6.9545 -0.1033 3.1464
Ga Ce Th
4 6 1
direct
0.5494 0.3677 0.3677
0.4506 0.8183 0.8183
0.0000 0.6323 0.1817
0.0000 0.1817 0.6323
0.2557 0.4499 0.4499
0.5000 0.0000 0.5000
0.7443 0.1942 0.1942
0.0000 0.8058 0.5501
0.5000 0.5000 0.0000
0.0000 0.5501 0.8058
0.0000 0.0000 0.0000
```

Values from the calculation:
Theoretical density, g/cm³: 6.89
DOS(E_F), states/eV/f.u.: 31.89
ΔH_f (0 K), meV/atom: -55.9



No. 12
Entry from Alexandria via LeMat-Bulk: a relaxed structure of HoErPu2Sb4 (GGA-PBE).

```
HoErPu2Sb4
1.0
-1.4737 -2.1229 3.5606
0.5886 -6.6299 -3.7093
6.5175 1.4894 3.5855
Pu Sb Er Ho
2 4 1 1
direct
0.5000 0.0000 0.5000
0.0000 0.5000 0.5000
0.0000 0.7486 0.2474
0.5000 0.2498 0.2478
0.0000 0.2514 0.7526
0.5000 0.7502 0.7522
0.5000 0.5000 0.0000
0.0000 0.0000 0.0000
```

Values from the calculation:
Theoretical density, g/cm³: 9.06
DOS(E_F), states/eV/f.u.: 27.44
Total energy, eV/f.u.: -61.087



Question: Which of these has the lowest theoretical density?
Answer: K2AcHfS4